Record 1
! Y2Ir2O (GGA-PBE, relaxed); values from VASP
&SYSTEM
  ibrav = 0, nat = 10, ntyp = 3
/
ATOMIC_SPECIES
Y 88.91 Y.upf
Ir 192.22 Ir.upf
O 16.00 O.upf
CELL_PARAMETERS angstrom
7.3252 0.0000 0.0000
0.0000 7.3252 0.0000
0.0000 0.0000 3.7214
ATOMIC_POSITIONS angstrom
Y 1.3209 2.3417 0.0000
Y 2.3417 6.0043 0.0000
Y 4.9835 1.3209 0.0000
Y 6.0043 4.9835 0.0000
Ir 0.8983 4.5609 1.8607
Ir 2.7643 0.8983 1.8607
Ir 4.5609 6.4269 1.8607
Ir 6.4269 2.7643 1.8607
O 0.0000 0.0000 1.8607
O 3.6626 3.6626 1.8607
! polymorph energy (0 for the lowest one)	81	meV per atom
! ρ	9.6	g/cm3
! ΔE_f (raw)	-311	meV per atom
! D(E_F)	2.0	states/eV/cell
! space group	P4/mbm (127)

Record 2
! Y4Ir2O (GGA-PBE, relaxed); values from VASP
&SYSTEM
  ibrav = 0, nat = 7, ntyp = 3
/
ATOMIC_SPECIES
Y 88.91 Y.upf
Ir 192.22 Ir.upf
O 16.00 O.upf
CELL_PARAMETERS angstrom
-2.2731 2.2731 7.3688
2.2731 -2.2731 7.3688
2.2731 2.2731 -7.3688
ATOMIC_POSITIONS angstrom
Y 2.2731 0.0000 0.0000
Y 0.0000 0.0000 2.6916
Y 0.0000 2.2731 0.0000
Y 0.0000 0.0000 12.0461
Ir 0.0000 0.0000 5.4443
Ir 0.0000 0.0000 9.2933
O 0.0000 0.0000 0.0000
! ρ	8.2	g/cm3
! ΔE_f (raw)	-1255	meV per atom
! D(E_F)	4.0	states/eV/cell
! space group	I4/mmm (139)

Record 3
! Y2IrO (GGA-PBE, relaxed); values from VASP
&SYSTEM
  ibrav = 0, nat = 4, ntyp = 3
/
ATOMIC_SPECIES
Y 88.91 Y.upf
Ir 192.22 Ir.upf
O 16.00 O.upf
CELL_PARAMETERS angstrom
1.6295 0.9408 8.1780
-1.6295 0.9408 8.1780
0.0000 -1.8816 8.1780
ATOMIC_POSITIONS angstrom
Y 0.0000 0.0000 2.6194
Y 0.0000 0.0000 21.9147
Ir 0.0000 0.0000 0.0000
O 0.0000 0.0000 12.2670
! ρ	8.5	g/cm3
! ΔE_f (raw)	-996	meV per atom
! D(E_F)	2.6	states/eV/cell
! space group	R-3m (166)

Record 4
! YIrO2 (GGA-PBE, relaxed); values from VASP
&SYSTEM
  ibrav = 0, nat = 4, ntyp = 3
/
ATOMIC_SPECIES
Y 88.91 Y.upf
Ir 192.22 Ir.upf
O 16.00 O.upf
CELL_PARAMETERS angstrom
1.6877 0.9744 6.1901
-1.6877 0.9744 6.1901
0.0000 -1.9488 6.1901
ATOMIC_POSITIONS angstrom
Y 0.0000 0.0000 0.0000
Ir 0.0000 0.0000 9.2852
O 0.0000 0.0000 7.2823
O 0.0000 0.0000 11.2880
! polymorph energy (0 for the lowest one)	0	meV per atom
! ρ	8.5	g/cm3
! ΔE_f (raw)	-1729	meV per atom
! D(E_F)	4.2	states/eV/cell
! space group	R-3m (166)

Record 5
! Y2IrO6 (GGA-PBE, relaxed); values from VASP
&SYSTEM
  ibrav = 0, nat = 18, ntyp = 3
/
ATOMIC_SPECIES
Y 88.91 Y.upf
Ir 192.22 Ir.upf
O 16.00 O.upf
CELL_PARAMETERS angstrom
5.0003 0.0000 0.0000
0.0000 5.0003 0.0000
0.0000 0.0000 10.0322
ATOMIC_POSITIONS angstrom
Y 0.0000 0.0000 1.6907
Y 0.0000 0.0000 8.3416
Y 2.5001 2.5001 3.3255
Y 2.5001 2.5001 6.7068
Ir 0.0000 0.0000 5.0161
Ir 2.5001 2.5001 0.0000
O 0.9250 0.9250 3.5535
O 0.9250 0.9250 6.4788
O 1.1218 1.1218 0.0000
O 1.3783 3.6219 5.0161
O 1.5751 3.4252 1.4627
O 1.5751 3.4252 8.5696
O 3.4252 1.5751 1.4627
O 3.4252 1.5751 8.5696
O 3.6219 1.3783 5.0161
O 3.8785 3.8785 0.0000
O 4.0752 4.0752 3.5535
O 4.0752 4.0752 6.4788
! polymorph energy (0 for the lowest one)	28	meV per atom
! ρ	6.2	g/cm3
! ΔE_f (raw)	-2181	meV per atom
! D(E_F)	7.3	states/eV/cell
! space group	P4_2/mnm (136)

Record 6
! Y6IrO12 (GGA-PBE, relaxed); values from VASP
&SYSTEM
  ibrav = 0, nat = 19, ntyp = 3
/
ATOMIC_SPECIES
Y 88.91 Y.upf
Ir 192.22 Ir.upf
O 16.00 O.upf
CELL_PARAMETERS angstrom
4.9264 2.8442 3.1383
-4.9264 2.8442 3.1383
0.0000 -5.6885 3.1383
ATOMIC_POSITIONS angstrom
Y -2.6268 -2.4839 4.9220
Y -3.4645 1.0329 4.4928
Y 0.8377 -3.5168 4.4928
Y -0.8377 3.5168 4.9220
Y 3.4645 -1.0329 4.9220
Y 2.6268 2.4839 4.4928
Ir 0.0000 0.0000 4.7074
O -1.2619 -4.0562 4.0714
O -4.1438 -0.9353 5.3434
O -1.6382 -0.3414 3.6611
O -2.8818 3.1210 4.0714
O 1.1148 -1.2481 3.6611
O -0.5235 -1.5894 5.7537
O 0.5235 1.5895 3.6611
O -1.1148 1.2481 5.7537
O 2.8818 -3.1210 5.3434
O 1.6382 0.3414 5.7537
O 4.1438 0.9353 4.0714
O 1.2619 4.0562 5.3434
! ρ	5.8	g/cm3
! ΔE_f (raw)	-2959	meV per atom
! space group	R-3 (148)

Record 7
! YIrO3 (GGA-PBE, relaxed); values from VASP
&SYSTEM
  ibrav = 0, nat = 5, ntyp = 3
/
ATOMIC_SPECIES
Y 88.91 Y.upf
Ir 192.22 Ir.upf
O 16.00 O.upf
CELL_PARAMETERS angstrom
4.2776 0.0000 0.0000
0.0000 4.2776 0.0000
0.0000 0.0000 4.2776
ATOMIC_POSITIONS angstrom
Y 0.0000 0.0000 0.0000
Ir 2.1388 2.1388 2.1388
O 0.0000 0.0000 2.1388
O 0.0000 2.1388 0.0000
O 2.1388 0.0000 0.0000
! ρ	7.0	g/cm3
! ΔE_f (raw)	-354	meV per atom
! D(E_F)	4.2	states/eV/cell
! space group	Pm-3m (221)

Record 8
! Y3IrO (GGA-PBE, relaxed); values from VASP
&SYSTEM
  ibrav = 0, nat = 5, ntyp = 3
/
ATOMIC_SPECIES
Y 88.91 Y.upf
Ir 192.22 Ir.upf
O 16.00 O.upf
CELL_PARAMETERS angstrom
4.6574 0.0000 0.0000
0.0000 4.6574 0.0000
0.0000 0.0000 4.6574
ATOMIC_POSITIONS angstrom
Y 0.0000 0.0000 2.3287
Y 0.0000 2.3287 0.0000
Y 2.3287 0.0000 0.0000
Ir 2.3287 2.3287 2.3287
O 0.0000 0.0000 0.0000
! ρ	7.8	g/cm3
! ΔE_f (raw)	-1359	meV per atom
! D(E_F)	5.4	states/eV/cell
! space group	Pm-3m (221)

Record 9
! YIrO6 (GGA-PBE, relaxed); values from VASP
&SYSTEM
  ibrav = 0, nat = 8, ntyp = 3
/
ATOMIC_SPECIES
Y 88.91 Y.upf
Ir 192.22 Ir.upf
O 16.00 O.upf
CELL_PARAMETERS angstrom
3.2935 -3.8066 0.0000
3.2935 3.8066 0.0000
-0.4382 0.0000 3.8228
ATOMIC_POSITIONS angstrom
Y 0.0000 0.0000 0.0000
Ir 3.0744 0.0000 1.9114
O 1.1387 0.0000 2.0451
O 2.8371 1.4540 0.5655
O 3.3118 1.4540 3.2573
O 2.8371 -1.4540 0.5655
O 3.3118 -1.4540 3.2573
O 5.0102 0.0000 1.7777
! ρ	6.5	g/cm3
! ΔE_f (raw)	-1237	meV per atom
! D(E_F)	2.3	states/eV/cell
! space group	C2/m (12)

Record 10
! YIr2O (GGA-PBE, relaxed); values from VASP
&SYSTEM
  ibrav = 0, nat = 8, ntyp = 3
/
ATOMIC_SPECIES
Y 88.91 Y.upf
Ir 192.22 Ir.upf
O 16.00 O.upf
CELL_PARAMETERS angstrom
-2.4510 2.4510 6.4289
2.4510 -2.4510 6.4289
2.4510 2.4510 -6.4289
ATOMIC_POSITIONS angstrom
Y 0.0000 0.0000 0.0000
Y 0.0000 2.4510 3.2144
Ir 1.2255 -0.3011 4.8217
Ir 2.1500 1.2255 1.6072
Ir 1.2255 2.7521 -1.6072
Ir 0.3011 1.2255 8.0361
O 2.4510 0.0000 3.2144
O 0.0000 0.0000 6.4289
! ρ	10.5	g/cm3
! ΔE_f (raw)	-302	meV per atom
! D(E_F)	3.9	states/eV/cell
! space group	I-42d (122)

Record 11
! YIrO2 (GGA-PBE, relaxed); values from VASP
&SYSTEM
  ibrav = 0, nat = 8, ntyp = 3
/
ATOMIC_SPECIES
Y 88.91 Y.upf
Ir 192.22 Ir.upf
O 16.00 O.upf
CELL_PARAMETERS angstrom
-2.1197 2.1197 6.4619
2.1197 -2.1197 6.4619
2.1197 2.1197 -6.4619
ATOMIC_POSITIONS angstrom
Y 0.0000 0.0000 0.0000
Y 0.0000 2.1197 3.2310
Ir 2.1197 0.0000 3.2310
Ir 0.0000 0.0000 6.4619
O 1.0599 -0.8890 4.8464
O 1.2307 1.0599 1.6155
O 1.0599 3.0087 -1.6155
O 0.8890 1.0599 8.0774
! polymorph energy (0 for the lowest one)	345	meV per atom
! ρ	9.0	g/cm3
! ΔE_f (raw)	-1384	meV per atom
! D(E_F)	3.3	states/eV/cell
! space group	I-42d (122)

Record 12
! YIrO2 (GGA-PBE, relaxed); values from VASP
&SYSTEM
  ibrav = 0, nat = 4, ntyp = 3
/
ATOMIC_SPECIES
Y 88.91 Y.upf
Ir 192.22 Ir.upf
O 16.00 O.upf
CELL_PARAMETERS angstrom
0.0000 2.9395 2.9395
2.9395 0.0000 2.9395
2.9395 2.9395 0.0000
ATOMIC_POSITIONS angstrom
Y 0.0000 0.0000 0.0000
Ir 2.9395 2.9395 2.9395
O 1.4698 1.4698 1.4698
O 4.4093 4.4093 4.4093
! polymorph energy (0 for the lowest one)	721	meV per atom
! ρ	10.2	g/cm3
! ΔE_f (raw)	-1008	meV per atom
! D(E_F)	2.2	states/eV/cell
! space group	Fm-3m (225)

Record 13
! YIr2O6 (GGA-PBE, relaxed); values from VASP
&SYSTEM
  ibrav = 0, nat = 9, ntyp = 3
/
ATOMIC_SPECIES
Y 88.91 Y.upf
Ir 192.22 Ir.upf
O 16.00 O.upf
CELL_PARAMETERS angstrom
5.2612 0.0000 0.0000
-2.6306 4.5563 0.0000
0.0000 0.0000 4.8317
ATOMIC_POSITIONS angstrom
Y 0.0000 0.0000 0.0000
Ir 0.0000 3.0376 2.4158
Ir 2.6306 1.5188 2.4158
O -0.9424 1.6323 3.4892
O -1.6882 2.9240 1.3424
O 1.8848 0.0000 3.4892
O 0.9424 1.6323 1.3424
O 3.3764 0.0000 1.3424
O 1.6882 2.9240 3.4892
! ρ	8.2	g/cm3
! ΔE_f (raw)	-1462	meV per atom
! D(E_F)	3.8	states/eV/cell
! space group	P-31m (162)

Record 14
! YIr3O (GGA-PBE, relaxed); values from VASP
&SYSTEM
  ibrav = 0, nat = 5, ntyp = 3
/
ATOMIC_SPECIES
Y 88.91 Y.upf
Ir 192.22 Ir.upf
O 16.00 O.upf
CELL_PARAMETERS angstrom
4.2803 0.0000 0.0000
0.0000 4.2803 0.0000
0.0000 0.0000 4.2803
ATOMIC_POSITIONS angstrom
Y 0.0000 0.0000 0.0000
Ir 0.0000 2.1401 2.1401
Ir 2.1401 0.0000 2.1401
Ir 2.1401 2.1401 0.0000
O 2.1401 2.1401 2.1401
! polymorph energy (0 for the lowest one)	0	meV per atom
! ρ	14.4	g/cm3
! ΔE_f (raw)	100	meV per atom
! D(E_F)	7.1	states/eV/cell
! space group	Pm-3m (221)

Record 15
! YIr3O (GGA-PBE, relaxed); values from VASP
&SYSTEM
  ibrav = 0, nat = 5, ntyp = 3
/
ATOMIC_SPECIES
Y 88.91 Y.upf
Ir 192.22 Ir.upf
O 16.00 O.upf
CELL_PARAMETERS angstrom
5.0710 0.0000 0.0000
0.0000 5.0710 0.0000
0.0000 0.0000 5.0710
ATOMIC_POSITIONS angstrom
Y 0.0000 0.0000 0.0000
Ir 0.0000 0.0000 2.5355
Ir 0.0000 2.5355 0.0000
Ir 2.5355 0.0000 0.0000
O 2.5355 2.5355 2.5355
! polymorph energy (0 for the lowest one)	2558	meV per atom
! ρ	8.7	g/cm3
! ΔE_f (raw)	2658	meV per atom
! D(E_F)	6.2	states/eV/cell
! space group	Pm-3m (221)

Record 16
! YIrO4 (GGA-PBE, relaxed); values from VASP
&SYSTEM
  ibrav = 0, nat = 24, ntyp = 3
/
ATOMIC_SPECIES
Y 88.91 Y.upf
Ir 192.22 Ir.upf
O 16.00 O.upf
CELL_PARAMETERS angstrom
7.6451 0.0000 0.0000
0.0000 5.3593 0.0000
-1.1724 0.0000 7.3139
ATOMIC_POSITIONS angstrom
Y 0.6891 1.1718 2.8602
Y 0.1029 1.5078 6.5171
Y 6.3698 3.8515 0.7968
Y 5.7836 4.1874 4.4537
Ir 2.3664 3.9060 1.4724
Ir 1.7803 4.1329 5.1293
Ir 4.6925 1.2264 2.1846
Ir 4.1063 1.4532 5.8416
O 0.6523 2.8083 1.2815
O 0.0662 5.2306 4.9384
O 1.3064 0.0761 0.8825
O 0.7202 2.6035 4.5395
O 1.4373 3.3431 6.9189
O 2.0235 4.6957 3.2620
O 2.4110 0.4935 5.9125
O 2.9972 2.1861 2.2556
O 3.4755 3.1731 5.0584
O 4.0617 4.8657 1.4014
O 4.4493 0.6635 4.0520
O 5.0355 2.0161 0.3950
O 5.7525 2.7557 2.7744
O 5.1663 5.2832 6.4314
O 6.4066 0.1287 2.3755
O 5.8204 2.5510 6.0324
! ρ	7.6	g/cm3
! ΔE_f (raw)	-1885	meV per atom
! D(E_F)	16.6	states/eV/cell
! space group	P2_1/c (14)

Record 17
! Y2IrO6 (GGA-PBE, relaxed); values from VASP
&SYSTEM
  ibrav = 0, nat = 18, ntyp = 3
/
ATOMIC_SPECIES
Y 88.91 Y.upf
Ir 192.22 Ir.upf
O 16.00 O.upf
CELL_PARAMETERS angstrom
5.4181 0.0000 0.0000
0.0000 5.8062 0.0000
-4.5588 0.0000 7.8172
ATOMIC_POSITIONS angstrom
Y -0.0199 0.4983 1.8526
Y -2.2993 2.4048 5.7611
Y 3.1587 3.4014 2.0560
Y 0.8793 5.3079 5.9646
Ir 2.7091 0.0000 0.0000
Ir 0.4297 2.9031 3.9086
O -3.4873 1.0027 7.4101
O -1.2079 1.9004 3.5015
O -2.7368 4.2241 7.0802
O -0.4574 4.4852 3.1716
O -1.1674 0.4567 6.0602
O 1.1120 2.4464 2.1516
O -0.2526 3.3598 5.6656
O 2.0267 5.3495 1.7570
O 1.3168 1.3210 4.6455
O 3.5962 1.5821 0.7370
O 2.0673 3.9058 4.3157
O 4.3467 4.8035 0.4071
! polymorph energy (0 for the lowest one)	0	meV per atom
! ρ	6.3	g/cm3
! ΔE_f (raw)	-2210	meV per atom
! D(E_F)	5.1	states/eV/cell
! space group	P2_1/c (14)

Record 18
! YIrO (GGA-PBE, relaxed); values from VASP
&SYSTEM
  ibrav = 0, nat = 6, ntyp = 3
/
ATOMIC_SPECIES
Y 88.91 Y.upf
Ir 192.22 Ir.upf
O 16.00 O.upf
CELL_PARAMETERS angstrom
2.3862 -2.3938 0.0000
2.3862 2.3938 0.0000
-1.7932 0.0000 8.5880
ATOMIC_POSITIONS angstrom
Y 0.3537 0.0000 2.8725
Y 2.6256 0.0000 5.7155
Ir -0.6045 0.0000 8.2328
Ir 3.5838 0.0000 0.3552
O 0.3022 0.0000 5.1875
O 2.6771 0.0000 3.4005
! ρ	10.1	g/cm3
! ΔE_f (raw)	-1765	meV per atom
! D(E_F)	3.2	states/eV/cell
! space group	C2/m (12)

Record 19
! YZrIrO6 (GGA-PBE, relaxed); values from VASP
&SYSTEM
  ibrav = 0, nat = 18, ntyp = 4
/
ATOMIC_SPECIES
Y 88.91 Y.upf
Zr 91.22 Zr.upf
Ir 192.22 Ir.upf
O 16.00 O.upf
CELL_PARAMETERS angstrom
5.3273 0.0000 0.0000
-2.6636 4.6135 0.0000
0.0000 0.0000 9.8692
ATOMIC_POSITIONS angstrom
Y 0.0000 0.0000 0.0000
Y 0.0000 0.0000 4.9346
Zr 0.0000 3.0757 2.4673
Zr 2.6636 1.5378 7.4019
Ir 0.0000 3.0757 7.4019
Ir 2.6636 1.5378 2.4673
O -0.8591 1.6585 6.2885
O -1.6569 3.0403 8.5153
O 0.8591 1.6585 8.5153
O -0.7977 4.5283 6.2885
O 1.8659 0.0852 1.3539
O 1.0068 1.5733 3.5807
O 1.6569 3.0403 6.2885
O 0.7977 4.5283 8.5153
O 3.4614 0.0852 3.5807
O 1.8045 2.9550 1.3539
O 4.3205 1.5733 1.3539
O 3.5228 2.9550 3.5807
! ρ	6.4	g/cm3
! ΔE_f (raw)	-2292	meV per atom
! D(E_F)	7.7	states/eV/cell
! space group	P-31c (163)

Record 20
! Zn2Ir2O7 (GGA-PBE, relaxed); values from VASP
&SYSTEM
  ibrav = 0, nat = 22, ntyp = 3
/
ATOMIC_SPECIES
Zn 65.41 Zn.upf
Ir 192.22 Ir.upf
O 16.00 O.upf
CELL_PARAMETERS angstrom
0.0000 5.0013 5.0013
5.0013 0.0000 5.0013
5.0013 5.0013 0.0000
ATOMIC_POSITIONS angstrom
Zn 0.0000 0.0000 0.0000
Zn 2.5007 2.5007 0.0000
Zn 2.5007 0.0000 2.5007
Zn 0.0000 2.5007 2.5007
Ir 5.0013 2.5007 2.5007
Ir 2.5007 5.0013 2.5007
Ir 2.5007 2.5007 5.0013
Ir 5.0013 5.0013 5.0013
O 1.2503 1.2503 1.2503
O 3.7510 3.7510 1.6909
O 3.7510 1.6909 3.7510
O 5.8110 3.7510 3.7510
O 6.2516 6.2516 4.1916
O 6.2516 4.1916 6.2516
O 8.3117 6.2516 6.2516
O 1.6909 3.7510 3.7510
O 3.7510 5.8110 3.7510
O 3.7510 3.7510 5.8110
O 4.1916 6.2516 6.2516
O 6.2516 8.3117 6.2516
O 6.2516 6.2516 8.3117
O 8.7523 8.7523 8.7523
! ρ	8.3	g/cm3
! ΔE_f (raw)	-854	meV per atom
! D(E_F)	18.0	states/eV/cell
! space group	Fd-3m (227)

Calculated total moment (μB per cell), listed in the same order as above: 0.00, 0.00, 0.00, 0.99, 5.33, 3.00, 4.01, 0.00, 1.90, 0.00, 0.00, 1.96, 2.97, 0.41, 4.38, 2.08, 5.54, 0.00, 4.09, 0.00